An optimized crystal structure of SmUO5, computed with PBE-GGA.

The space group is Immm (No. 71) and the conventional cell measures 4.179, 6.721 and 8.487 Å, with angles of 90.00, 90.00 and 90.00 degrees. Symmetry generates all atoms from Sm at (0.000, 0.000, 0.000), U at (0.000, 0.000, 0.500), O at (0.000, 0.000, 0.268), O at (0.000, 0.307, 0.500) and O at (0.000, 0.500, 0.000).

As for the formation energy without anion corrections: -2864 meV per atom.

=====

An optimized crystal structure of ZrPaMn4, computed with PBE-GGA.

The space group is F-43m (No. 216) and the conventional cell measures 7.148, 7.148 and 7.148 Å, with angles of 90.00, 90.00 and 90.00 degrees. Symmetry generates all atoms from Zr at (0.000, 0.000, 0.000), Pa at (0.250, 0.250, 0.750) and Mn at (0.125, 0.125, 0.375).

The calculated formation energy comes out at -69 meV per atom.

=====

An optimized crystal structure of PuZrTlIn, computed with PBE-GGA.

The space group is F-43m (No. 216) and the conventional cell measures 7.379, 7.379 and 7.379 Å, with angles of 90.00, 90.00 and 90.00 degrees. Symmetry generates all atoms from Pu at (0.000, 0.000, 0.000), Zr at (0.000, 0.000, 0.500), Tl at (0.250, 0.250, 0.750) and In at (0.250, 0.250, 0.250).

The calculated formation energy comes out at -9 meV per atom.

=====

An optimized crystal structure of DyCo4Ru, computed with PBE-GGA.

The space group is F-43m (No. 216) and the conventional cell measures 6.922, 6.922 and 6.922 Å, with angles of 90.00, 90.00 and 90.00 degrees. Symmetry generates all atoms from Dy at (0.000, 0.000, 0.000), Co at (0.125, 0.125, 0.375) and Ru at (0.250, 0.250, 0.750).

The calculated formation energy comes out at -20 meV per atom.

=====

An optimized crystal structure of AcPrGeBr, computed with PBE-GGA.

The space group is Amm2 (No. 38) and the conventional cell measures 6.216, 5.260 and 9.237 Å, with angles of 90.00, 90.00 and 90.00 degrees. Symmetry generates all atoms from Ac at (0.000, 0.000, 0.000), Pr at (0.500, 0.000, 0.669), Ge at (0.500, 0.000, 0.001) and Br at (0.000, 0.000, 0.669).

Its distance to the lowest polymorph of the same formula is 144 meV per atom. As for the formation energy without anion corrections: -801 meV per atom.

=====

An optimized crystal structure of BaHgOs2, computed with PBE-GGA.

The space group is P4/mmm (No. 123) and the conventional cell measures 4.316, 4.316 and 4.654 Å, with angles of 90.00, 90.00 and 90.00 degrees. Symmetry generates all atoms from Ba at (0.000, 0.000, 0.000), Hg at (0.500, 0.500, 0.000) and Os at (0.000, 0.500, 0.500).

The calculated formation energy comes out at 1435 meV per atom.

=====

An optimized crystal structure of TbThMnCu, computed with PBE-GGA.

The space group is F-43m (No. 216) and the conventional cell measures 7.050, 7.050 and 7.050 Å, with angles of 90.00, 90.00 and 90.00 degrees. Symmetry generates all atoms from Tb at (0.000, 0.000, 0.000), Th at (0.000, 0.000, 0.500), Mn at (0.250, 0.250, 0.750) and Cu at (0.250, 0.250, 0.250).

The calculated formation energy comes out at 60 meV per atom.

=====

An optimized crystal structure of CdRu3Br, computed with PBE-GGA.

The space group is Pm-3m (No. 221) and the conventional cell measures 5.027, 5.027 and 5.027 Å, with angles of 90.00, 90.00 and 90.00 degrees. Symmetry generates all atoms from Cd at (0.000, 0.000, 0.000), Ru at (0.000, 0.000, 0.500) and Br at (0.500, 0.500, 0.500).

Its distance to the lowest polymorph of the same formula is 882 meV per atom. As for the formation energy without anion corrections: 2204 meV per atom.

=====

An optimized crystal structure of CaSi, computed with PBE-GGA.

The space group is Fddd (No. 70, origin choice 2) and the conventional cell measures 4.116, 13.597 and 14.864 Å, with angles of 90.00, 90.00 and 90.00 degrees. Symmetry generates all atoms from Ca at (0.125, 0.125, 0.260) and Si at (0.125, 0.041, 0.625).

As for the formation energy without anion corrections: -317 meV per atom.

=====

An optimized crystal structure of TlSI2Br, computed with PBE-GGA.

The space group is P4/mmm (No. 123) and the conventional cell measures 5.949, 5.949 and 6.392 Å, with angles of 90.00, 90.00 and 90.00 degrees. Symmetry generates all atoms from Tl at (0.000, 0.000, 0.000), S at (0.500, 0.500, 0.000), I at (0.000, 0.500, 0.500) and Br at (0.000, 0.000, 0.500).

As for the formation energy without anion corrections: 442 meV per atom.

=====

An optimized crystal structure of ErTlCu2F8, computed with PBE-GGA.

The space group is P-3m1 (No. 164) and the conventional cell measures 5.8267, 5.8267 and 7.8359 Å, with angles of 90.00, 90.00 and 120.00 degrees. Symmetry generates all atoms from Er at (0.0000, 0.0000, 0.0000), Tl at (0.0000, 0.0000, 0.5000), Cu at (0.3333, 0.6667, 0.7033), F at (0.1652, 0.3304, 0.8261) and F at (0.3333, 0.6667, 0.4680).

As for the formation energy without anion corrections: -2283 meV per atom.

=====

An optimized crystal structure of Ce2TmNb, computed with PBE-GGA.

The space group is R-3m (No. 166, hexagonal axes) and the conventional cell measures 3.1516, 3.1516 and 35.2237 Å, with angles of 90.00, 90.00 and 120.00 degrees. Symmetry generates all atoms from Ce at (0.0000, 0.0000, 0.0796), Tm at (0.0000, 0.0000, 0.5000) and Nb at (0.0000, 0.0000, 0.0000).

Its distance to the lowest polymorph of the same formula is 192 meV per atom. The calculated formation energy comes out at 429 meV per atom.

=====

An optimized crystal structure of LaMgRe2Sn, computed with PBE-GGA.

The space group is P4/mmm (No. 123) and the conventional cell measures 4.782, 4.782 and 5.217 Å, with angles of 90.00, 90.00 and 90.00 degrees. Symmetry generates all atoms from La at (0.000, 0.000, 0.000), Mg at (0.000, 0.000, 0.500), Re at (0.000, 0.500, 0.500) and Sn at (0.500, 0.500, 0.000).

The calculated formation energy comes out at 1635 meV per atom.

=====

An optimized crystal structure of AlIn2Ag, computed with PBE-GGA.

The space group is R-3m (No. 166, hexagonal axes) and the conventional cell measures 3.2176, 3.2176 and 28.9542 Å, with angles of 90.00, 90.00 and 120.00 degrees. Symmetry generates all atoms from Al at (0.0000, 0.0000, 0.0000), In at (0.0000, 0.0000, 0.2495) and Ag at (0.0000, 0.0000, 0.5000).

The calculated formation energy comes out at 79 meV per atom.

=====

| no. | final energy (eV/atom) |
| --- | --- |
| 1 | -8.6920 |
| 2 | -9.1889 |
| 3 | -7.0049 |
| 4 | -7.0700 |
| 5 | -4.5952 |
| 6 | -4.7359 |
| 7 | -6.2694 |
| 8 | -3.8795 |
| 9 | -4.0290 |
| 10 | -1.8116 |
| 11 | -4.7910 |
| 12 | -6.1728 |
| 13 | -5.4492 |
| 14 | -2.9389 |